No. 1
Compound: CaLa2Sb3Pt4
Source: Alexandria via LeMat-Bulk
Functional: PBE
Structure: optimized geometry

The calculation puts the uncorrected formation energy at -0.95 eV/atom. The value obtained for the theoretical density is 10.2 g cm⁻³. For the raw total energy, the calculation gives -5.785 eV/atom.

The structure in POSCAR format:
```
CaLa2Sb3Pt4
1.0
4.582 0.000 0.000
0.000 4.582 0.000
0.000 0.000 11.346
Ca La Sb Pt
1 2 3 4
Cartesian
0.000 0.000 0.000
0.000 2.291 8.134
2.291 0.000 3.212
0.000 2.291 4.222
2.291 0.000 7.123
2.291 2.291 0.000
0.000 0.000 5.673
0.000 2.291 1.633
2.291 0.000 9.713
2.291 2.291 5.673
```

***

No. 2
Compound: Bi2RhPbO6
Source: Alexandria via LeMat-Bulk
Functional: PBE
Structure: optimized geometry

The calculation puts the uncorrected formation energy at -0.98 eV/atom. The value obtained for the theoretical density is 8.6 g cm⁻³. For the raw total energy, the calculation gives -5.840 eV/atom.

The structure in POSCAR format:
```
Bi2RhPbO6
1.0
2.882 1.664 5.541
-2.882 1.664 5.541
0.000 -3.328 5.541
Bi Rh Pb O
2 1 1 6
Cartesian
0.000 0.000 0.000
0.000 0.000 7.809
0.000 0.000 13.202
0.000 0.000 4.225
-1.114 -1.656 6.564
-1.988 -0.326 8.911
-0.877 1.793 6.564
1.277 -1.559 8.911
1.991 -0.137 6.564
0.712 1.885 8.911
```

***

no.,spin magnetization (μB per atom),volume (Å³ per cell)
1,0.0000,238.19
2,0.0000,159.41